Density functional theory data (PBE) for an optimized crystal structure of Ac2Tb7Sm2.

Cell lengths 17.5204, 11.9986, 3.7039 Å; angles 90.00, 97.98, 90.00 degrees
Last column: nearest neighbours and their distance in Å.
Space group C2/m (No. 12)
Inequivalent atoms, fractional coordinates:
1 Ac 0.1969 0.0000 0.1747 (multiplicity 4)  10 Tb 3.67-4.11, 2 Ac 3.70
2 Tb 0.0000 0.0000 0.5000 (multiplicity 2)  4 Sm 3.48, 2 Tb 3.70, 2 Ac 3.81
3 Tb 0.0958 0.5000 0.2264 (multiplicity 4)  7 Tb 3.42-3.76, 2 Sm 3.53
4 Tb 0.1667 0.2660 0.6846 (multiplicity 8)  2 Sm 3.30-3.60, 3 Tb 3.41-3.50, 2 Ac 3.67-3.68
5 Sm 0.0000 0.2458 0.0000 (multiplicity 4)  8 Tb 3.30-3.60

## Properties
Its energy relative to the elements is 0.13 eV per atom. The value obtained for the volume is 386 Å³/f.u.


Density functional theory data (PBE) for an optimized crystal structure of Ac2Tb2Sm.

Cell lengths 17.8216, 6.7780, 6.5316 Å; angles 90.00, 107.72, 90.00 degrees
Last column: nearest neighbours and their distance in Å.
Space group C2/c (No. 15)
Inequivalent atoms, fractional coordinates:
1 Ac 0.1917 0.1464 0.1921 (multiplicity 8)  1 Sm 3.58, 3 Tb 3.66-3.79, 5 Ac 3.82-3.97
2 Tb 0.0867 0.3839 0.6567 (multiplicity 8)  2 Sm 3.36-3.61, 4 Tb 3.52-3.65, 1 Ac 3.66
3 Sm 0.0000 0.0760 0.2500 (multiplicity 4)  4 Tb 3.36-3.61, 2 Sm 3.42, 2 Ac 3.58

## Properties
Its energy relative to the elements is 0.09 eV per atom. The calculation puts the relative energy among the computed polymorphs at 0 meV/atom. The value obtained for the volume is 188 Å³/f.u.


Density functional theory data (PBE) for an optimized crystal structure of Ac3Tb2Sm5.

Cell lengths 9.0944, 9.7379, 10.3017 Å; angles 104.06, 114.08, 104.92 degrees
Last column: nearest neighbours and their distance in Å.
Space group P-1 (No. 2)
Inequivalent atoms, fractional coordinates:
1 Ac 0.0279 0.1753 0.4571 (multiplicity 2)  8 Sm 3.56-3.85, 2 Tb 3.57-3.73, 2 Ac 3.69-3.90
2 Ac 0.1883 0.1983 0.1616 (multiplicity 2)  6 Sm 3.69-4.06, 3 Tb 3.74-3.97, 3 Ac 3.75-3.92
3 Ac 0.2234 0.5256 0.0291 (multiplicity 2)  2 Tb 3.52-3.63, 6 Sm 3.69-3.87, 2 Ac 3.73-3.75
4 Tb 0.2803 0.8671 0.9387 (multiplicity 2)  6 Sm 3.43-3.83, 3 Ac 3.63-3.78, 1 Tb 3.64
5 Tb 0.4801 0.2645 0.5721 (multiplicity 2)  3 Sm 3.26-3.62, 2 Ac 3.52-3.57
6 Sm 0.0930 0.5220 0.3697 (multiplicity 2)  5 Sm 3.55-3.76, 2 Tb 3.62-3.83, 4 Ac 3.67-3.86
7 Sm 0.1547 0.8646 0.2744 (multiplicity 2)  4 Sm 3.61-3.83, 5 Ac 3.69-4.00, 2 Tb 3.73-3.77
8 Sm 0.3262 0.2070 0.8487 (multiplicity 2)  4 Sm 3.51-3.83, 3 Tb 3.62-3.74, 5 Ac 3.71-3.92
9 Sm 0.3703 0.5548 0.7477 (multiplicity 2)  5 Sm 3.55-3.75, 2 Tb 3.56-3.67, 4 Ac 3.66-3.87
10 Sm 0.4262 0.9142 0.6755 (multiplicity 2)  3 Tb 3.26-3.54, 2 Sm 3.51-3.61, 1 Ac 3.56

## Properties
Its energy relative to the elements is 0.08 eV per atom. The value obtained for the volume is 370 Å³/f.u.


The lowest energy relative to the elements belongs to which entry? Ac3Tb2Sm5


What did the third record say?
Density functional theory data (PBE) for an optimized crystal structure of Ac3Tb2Sm5.

Cell lengths 9.0944, 9.7379, 10.3017 Å; angles 104.06, 114.08, 104.92 degrees
Last column: nearest neighbours and their distance in Å.
Space group P-1 (No. 2)
Inequivalent atoms, fractional coordinates:
1 Ac 0.0279 0.1753 0.4571 (multiplicity 2)  8 Sm 3.56-3.85, 2 Tb 3.57-3.73, 2 Ac 3.69-3.90
2 Ac 0.1883 0.1983 0.1616 (multiplicity 2)  6 Sm 3.69-4.06, 3 Tb 3.74-3.97, 3 Ac 3.75-3.92
3 Ac 0.2234 0.5256 0.0291 (multiplicity 2)  2 Tb 3.52-3.63, 6 Sm 3.69-3.87, 2 Ac 3.73-3.75
4 Tb 0.2803 0.8671 0.9387 (multiplicity 2)  6 Sm 3.43-3.83, 3 Ac 3.63-3.78, 1 Tb 3.64
5 Tb 0.4801 0.2645 0.5721 (multiplicity 2)  3 Sm 3.26-3.62, 2 Ac 3.52-3.57
6 Sm 0.0930 0.5220 0.3697 (multiplicity 2)  5 Sm 3.55-3.76, 2 Tb 3.62-3.83, 4 Ac 3.67-3.86
7 Sm 0.1547 0.8646 0.2744 (multiplicity 2)  4 Sm 3.61-3.83, 5 Ac 3.69-4.00, 2 Tb 3.73-3.77
8 Sm 0.3262 0.2070 0.8487 (multiplicity 2)  4 Sm 3.51-3.83, 3 Tb 3.62-3.74, 5 Ac 3.71-3.92
9 Sm 0.3703 0.5548 0.7477 (multiplicity 2)  5 Sm 3.55-3.75, 2 Tb 3.56-3.67, 4 Ac 3.66-3.87
10 Sm 0.4262 0.9142 0.6755 (multiplicity 2)  3 Tb 3.26-3.54, 2 Sm 3.51-3.61, 1 Ac 3.56

## Properties
Its energy relative to the elements is 0.08 eV per atom. The value obtained for the volume is 370 Å³/f.u.